Density functional theory data (PBE) for CuHgBr2 after structural relaxation.

Cell and atoms, written as POSCAR:
```
CuHgBr2
1.0
3.675 0.000 0.000
0.000 3.675 0.000
0.000 0.000 8.189
Cu Hg Br
1 1 2
Direct
0.000 0.000 0.000 Cu
0.500 0.500 0.513 Hg
0.000 0.000 0.288 Br
0.500 0.500 0.905 Br
```

Computed properties:
Raw total energy   -1.98 eV/atom
ΔE_f (raw)   -0.045 eV per atom
Offset from the most stable computed form   0.68 eV/f.u.
Volume   111 Å³ per cell

Density functional theory data (PBE) for CuHgBr2 after structural relaxation.

Cell and atoms, written as POSCAR:
```
CuHgBr2
1.0
5.181 0.000 0.000
0.000 3.905 0.000
-0.676 0.000 6.095
Cu Hg Br
1 1 2
Direct
0.000 0.000 0.000 Cu
0.185 0.500 0.727 Hg
0.113 0.500 0.240 Br
0.636 0.000 0.731 Br
```

Computed properties:
Raw total energy   -2.15 eV/atom
ΔE_f (raw)   -0.214 eV per atom
Offset from the most stable computed form   0.00 eV/f.u.
Volume   123 Å³ per cell

Density functional theory data (PBE) for CuHgBr2 after structural relaxation.

Cell and atoms, written as POSCAR:
```
CuHgBr2
1.0
-1.980 1.980 7.621
1.980 -1.980 7.621
1.980 1.980 -7.621
Cu Hg Br
1 1 2
Direct
0.000 0.000 0.000 Cu
0.250 0.750 0.500 Hg
0.500 0.500 0.000 Br
0.750 0.250 0.500 Br
```

Computed properties:
Raw total energy   -1.88 eV/atom
ΔE_f (raw)   0.051 eV per atom
Offset from the most stable computed form   1.06 eV/f.u.
Volume   119 Å³ per cell

Density functional theory data (PBE) for CuHgBr2 after structural relaxation.

Cell and atoms, written as POSCAR:
```
CuHgBr2
1.0
6.338 -1.743 0.000
6.338 1.743 0.000
-0.718 0.000 6.464
Cu Hg Br
1 1 2
Direct
0.000 0.000 0.000 Cu
0.174 0.174 0.358 Hg
0.399 0.399 0.153 Br
0.585 0.585 0.818 Br
```

Computed properties:
Raw total energy   -2.14 eV/atom
ΔE_f (raw)   -0.206 eV per atom
Offset from the most stable computed form   0.03 eV/f.u.
Volume   143 Å³ per cell

Density functional theory data (PBE) for CuHgBr2 after structural relaxation.

Cell and atoms, written as POSCAR:
```
CuHgBr2
1.0
6.499 -1.728 0.000
6.499 1.728 0.000
-4.323 0.000 6.151
Cu Hg Br
1 1 2
Direct
0.000 0.000 0.000 Cu
0.500 0.500 0.500 Hg
0.341 0.341 0.842 Br
0.659 0.659 0.158 Br
```

Computed properties:
Raw total energy   -2.13 eV/atom
ΔE_f (raw)   -0.190 eV per atom
Offset from the most stable computed form   0.10 eV/f.u.
Volume   138 Å³ per cell

Density functional theory data (PBE) for Cu2Hg2Br after structural relaxation.

Cell and atoms, written as POSCAR:
```
Cu2Hg2Br
1.0
7.394 0.000 0.000
0.000 7.394 0.000
0.000 0.000 3.706
Cu Hg Br
4 4 2
Direct
0.124 0.376 0.000 Cu
0.376 0.876 0.000 Cu
0.624 0.124 0.000 Cu
0.876 0.624 0.000 Cu
0.168 0.668 0.500 Hg
0.332 0.168 0.500 Hg
0.668 0.832 0.500 Hg
0.832 0.332 0.500 Hg
0.000 0.000 0.000 Br
0.500 0.500 0.000 Br
```

Computed properties:
Raw total energy   -1.90 eV/atom
ΔE_f (raw)   0.192 eV per atom
Offset from the most stable computed form   0.35 eV/f.u.
Volume   203 Å³ per cell

Density functional theory data (PBE) for CuHgBr2 after structural relaxation.

Cell and atoms, written as POSCAR:
```
CuHgBr2
1.0
4.364 0.000 0.000
0.000 3.457 0.000
-0.621 0.000 9.137
Cu Hg Br
1 1 2
Direct
0.000 0.000 0.000 Cu
0.500 0.000 0.500 Hg
0.122 0.500 0.829 Br
0.878 0.500 0.171 Br
```

Computed properties:
Raw total energy   -2.13 eV/atom
ΔE_f (raw)   -0.192 eV per atom
Offset from the most stable computed form   0.09 eV/f.u.
Volume   138 Å³ per cell

Density functional theory data (PBE) for CuHgBr2 after structural relaxation.

Cell and atoms, written as POSCAR:
```
CuHgBr2
1.0
-3.391 3.391 5.449
3.391 -3.391 5.449
3.391 3.391 -5.449
Cu Hg Br
2 2 4
Direct
0.000 0.000 0.000 Cu
0.750 0.250 0.500 Cu
0.250 0.750 0.500 Hg
0.500 0.500 0.000 Hg
0.043 0.625 0.918 Br
0.375 0.293 0.418 Br
0.707 0.125 0.082 Br
0.875 0.957 0.582 Br
```

Computed properties:
Raw total energy   -2.11 eV/atom
ΔE_f (raw)   -0.170 eV per atom
Offset from the most stable computed form   0.18 eV/f.u.
Volume   251 Å³ per cell

Density functional theory data (PBE) for Cu3HgBr8 after structural relaxation.

Cell and atoms, written as POSCAR:
```
Cu3HgBr8
1.0
7.504 -2.082 0.000
7.504 2.082 0.000
-0.425 0.000 11.666
Cu Hg Br
3 1 8
Direct
0.000 0.000 0.000 Cu
0.027 0.027 0.408 Cu
0.254 0.254 0.000 Cu
0.253 0.253 0.566 Hg
0.068 0.068 0.614 Br
0.122 0.122 0.874 Br
0.183 0.183 0.355 Br
0.414 0.414 0.950 Br
0.438 0.438 0.431 Br
0.736 0.736 0.095 Br
0.817 0.817 0.687 Br
0.976 0.976 0.200 Br
```

Computed properties:
Raw total energy   -2.42 eV/atom
ΔE_f (raw)   -0.252 eV per atom
Volume   365 Å³ per cell

Density functional theory data (PBE) for CuHgBr2 after structural relaxation.

Cell and atoms, written as POSCAR:
```
CuHgBr2
1.0
3.025 0.000 0.000
0.000 3.515 0.000
0.000 0.000 9.940
Cu Hg Br
1 1 2
Direct
0.000 0.000 0.000 Cu
0.000 0.000 0.500 Hg
0.500 0.500 0.170 Br
0.500 0.500 0.830 Br
```

Computed properties:
Raw total energy   -1.85 eV/atom
ΔE_f (raw)   0.090 eV per atom
Offset from the most stable computed form   1.22 eV/f.u.
Volume   106 Å³ per cell

Density functional theory data (PBE) for Cu2Hg2Br7 after structural relaxation.

Cell and atoms, written as POSCAR:
```
Cu2Hg2Br7
1.0
5.188 -6.204 0.000
5.188 6.204 0.000
-3.507 0.000 13.014
Cu Hg Br
4 4 14
Direct
0.047 0.333 0.270 Cu
0.333 0.047 0.770 Cu
0.667 0.953 0.230 Cu
0.953 0.667 0.730 Cu
0.112 0.223 0.991 Hg
0.223 0.112 0.491 Hg
0.777 0.888 0.509 Hg
0.888 0.777 0.009 Hg
0.020 0.817 0.389 Br
0.122 0.488 0.142 Br
0.183 0.980 0.111 Br
0.247 0.753 0.750 Br
0.302 0.359 0.389 Br
0.359 0.302 0.889 Br
0.488 0.122 0.642 Br
0.512 0.878 0.358 Br
0.641 0.698 0.111 Br
0.698 0.641 0.611 Br
0.753 0.247 0.250 Br
0.817 0.020 0.889 Br
0.878 0.512 0.858 Br
0.980 0.183 0.611 Br
```

Computed properties:
Raw total energy   -2.21 eV/atom
ΔE_f (raw)   -0.348 eV per atom
Offset from the most stable computed form   0.00 eV/f.u.
Volume   838 Å³ per cell

Density functional theory data (PBE) for CuHgI2Br after structural relaxation.

Cell and atoms, written as POSCAR:
```
CuHgI2Br
1.0
5.755 0.000 0.000
0.000 5.755 0.000
0.000 0.000 6.778
Cu Hg I Br
1 1 2 1
Direct
0.000 0.000 0.000 Cu
0.500 0.500 0.000 Hg
0.000 0.500 0.500 I
0.500 0.000 0.500 I
0.500 0.500 0.500 Br
```

Computed properties:
Raw total energy   -1.14 eV/atom
ΔE_f (raw)   0.696 eV per atom
Volume   224 Å³ per cell

Density functional theory data (PBE) for InCuHg2Br after structural relaxation.

Cell and atoms, written as POSCAR:
```
InCuHg2Br
1.0
5.154 0.000 0.000
0.000 5.154 0.000
0.000 0.000 5.304
In Cu Hg Br
1 1 2 1
Direct
0.000 0.000 0.000 In
0.000 0.000 0.500 Cu
0.000 0.500 0.500 Hg
0.500 0.000 0.500 Hg
0.500 0.500 0.000 Br
```

Computed properties:
Raw total energy   -1.94 eV/atom
ΔE_f (raw)   -0.115 eV per atom
Volume   141 Å³ per cell

Density functional theory data (PBE) for K3CuHg2Br9 after structural relaxation.

Cell and atoms, written as POSCAR:
```
K3CuHg2Br9
1.0
7.720 0.000 0.000
-3.860 6.686 0.000
0.000 0.000 9.493
K Cu Hg Br
3 1 2 9
Direct
0.000 0.000 0.000 K
0.333 0.667 0.665 K
0.667 0.333 0.335 K
0.000 0.000 0.500 Cu
0.333 0.667 0.181 Hg
0.667 0.333 0.819 Hg
0.000 0.500 0.000 Br
0.159 0.317 0.343 Br
0.159 0.841 0.343 Br
0.317 0.159 0.657 Br
0.500 0.000 0.000 Br
0.500 0.500 0.000 Br
0.683 0.841 0.343 Br
0.841 0.159 0.657 Br
0.841 0.683 0.657 Br
```

Computed properties:
Raw total energy   -2.40 eV/atom
ΔE_f (raw)   -0.864 eV per atom
Volume   490 Å³ per cell

Density functional theory data (PBE) for KCu2HgBr6 after structural relaxation.

Cell and atoms, written as POSCAR:
```
KCu2HgBr6
1.0
6.997 -6.941 0.000
6.997 6.941 0.000
-2.455 0.000 7.270
K Cu Hg Br
2 4 2 12
Direct
0.112 0.888 0.750 K
0.888 0.112 0.250 K
0.249 0.357 0.778 Cu
0.357 0.249 0.278 Cu
0.643 0.751 0.722 Cu
0.751 0.643 0.222 Cu
0.249 0.751 0.250 Hg
0.751 0.249 0.750 Hg
0.038 0.209 0.684 Br
0.166 0.601 0.925 Br
0.209 0.038 0.184 Br
0.287 0.420 0.509 Br
0.399 0.834 0.575 Br
0.420 0.287 0.009 Br
0.580 0.713 0.991 Br
0.601 0.166 0.425 Br
0.713 0.580 0.491 Br
0.791 0.962 0.816 Br
0.834 0.399 0.075 Br
0.962 0.791 0.316 Br
```

Computed properties:
Raw total energy   -2.57 eV/atom
ΔE_f (raw)   -0.608 eV per atom
Volume   706 Å³ per cell

Density functional theory data (PBE) for K2CuHgBr5 after structural relaxation.

Cell and atoms, written as POSCAR:
```
K2CuHgBr5
1.0
2.166 -9.587 0.000
2.166 9.587 0.000
0.000 0.000 13.949
K Cu Hg Br
4 2 2 10
Direct
0.118 0.882 0.500 K
0.128 0.872 0.126 K
0.872 0.128 0.626 K
0.882 0.118 0.000 K
0.437 0.563 0.214 Cu
0.563 0.437 0.714 Cu
0.209 0.791 0.827 Hg
0.791 0.209 0.327 Hg
0.064 0.936 0.806 Br
0.293 0.707 0.467 Br
0.306 0.694 0.175 Br
0.351 0.649 0.814 Br
0.496 0.504 0.570 Br
0.504 0.496 0.070 Br
0.649 0.351 0.314 Br
0.694 0.306 0.675 Br
0.707 0.293 0.967 Br
0.936 0.064 0.306 Br
```

Computed properties:
Raw total energy   -2.64 eV/atom
ΔE_f (raw)   -0.978 eV per atom
Volume   579 Å³ per cell

Density functional theory data (PBE) for Cu2HgBrN after structural relaxation.

Cell and atoms, written as POSCAR:
```
Cu2HgBrN
1.0
3.855 0.000 0.000
0.000 3.855 0.000
0.000 0.000 6.374
Cu Hg Br N
2 1 1 1
Direct
0.000 0.500 0.000 Cu
0.500 0.000 0.000 Cu
0.000 0.000 0.500 Hg
0.500 0.500 0.500 Br
0.000 0.000 0.000 N
```

Computed properties:
Raw total energy   -3.32 eV/atom
ΔE_f (raw)   0.383 eV per atom
Volume   95 Å³ per cell

Density functional theory data (PBE) for Na2CuHgBr5 after structural relaxation.

Cell and atoms, written as POSCAR:
```
Na2CuHgBr5
1.0
2.070 -8.942 0.000
2.070 8.942 0.000
0.000 0.000 13.761
Na Cu Hg Br
4 2 2 10
Direct
0.082 0.918 0.500 Na
0.126 0.874 0.178 Na
0.874 0.126 0.678 Na
0.918 0.082 0.000 Na
0.442 0.558 0.266 Cu
0.558 0.442 0.766 Cu
0.218 0.782 0.885 Hg
0.782 0.218 0.385 Hg
0.057 0.943 0.865 Br
0.273 0.727 0.528 Br
0.298 0.702 0.238 Br
0.373 0.627 0.851 Br
0.494 0.506 0.612 Br
0.506 0.494 0.112 Br
0.627 0.373 0.351 Br
0.702 0.298 0.738 Br
0.727 0.273 0.028 Br
0.943 0.057 0.365 Br
```

Computed properties:
Raw total energy   -2.57 eV/atom
ΔE_f (raw)   -0.859 eV per atom
Volume   509 Å³ per cell

Density functional theory data (PBE) for Na2CuHgBr6 after structural relaxation.

Cell and atoms, written as POSCAR:
```
Na2CuHgBr6
1.0
7.019 0.000 0.000
2.991 6.677 0.000
3.225 1.504 6.600
Na Cu Hg Br
2 1 1 6
Direct
0.000 0.000 0.000 Na
0.446 0.549 0.532 Na
0.668 0.685 0.958 Cu
0.170 0.222 0.420 Hg
0.310 0.616 0.170 Br
0.388 0.123 0.655 Br
0.586 0.896 0.190 Br
0.749 0.442 0.760 Br
0.914 0.301 0.230 Br
0.989 0.803 0.724 Br
```

Computed properties:
Raw total energy   -2.51 eV/atom
ΔE_f (raw)   -0.800 eV per atom
Volume   309 Å³ per cell

Density functional theory data (PBE) for PaCuHgBr6 after structural relaxation.

Cell and atoms, written as POSCAR:
```
PaCuHgBr6
1.0
6.760 0.000 0.000
-3.380 5.854 0.000
0.000 0.000 19.606
Pa Cu Hg Br
2 2 2 12
Direct
0.333 0.667 0.250 Pa
0.667 0.333 0.750 Pa
0.333 0.667 0.750 Cu
0.667 0.333 0.250 Cu
0.000 0.000 0.000 Hg
0.000 0.000 0.500 Hg
0.004 0.349 0.669 Br
0.004 0.655 0.831 Br
0.345 0.349 0.831 Br
0.345 0.996 0.669 Br
0.349 0.004 0.169 Br
0.349 0.345 0.331 Br
0.651 0.655 0.669 Br
0.651 0.996 0.831 Br
0.655 0.004 0.331 Br
0.655 0.651 0.169 Br
0.996 0.345 0.169 Br
0.996 0.651 0.331 Br
```

Computed properties:
Raw total energy   -3.63 eV/atom
ΔE_f (raw)   -0.976 eV per atom
Volume   776 Å³ per cell